This record from the Alexandria database describes crystalline IrS2O at its relaxed geometry. The functional is PBEsol.

Computed properties:
Calculated density, g/cm³: 7.00
Fermi-level density of states, states/eV per atom: 0.375
Energy relative to the elements, uncorrected, meV/atom: -232

Lattice parameters (Å, degrees): 3.6144 3.6144 17.1251 90.00 90.00 120.00
With the nearest neighbours (Å) after each atom.
Space group R-3m (No. 166, hexagonal axes)
Asymmetric unit:
Ir 0.0000 0.0000 0.0000 [3 per cell]  6 S 2.36
S 0.0000 0.0000 0.3973 [6 per cell]  1 O 1.76
O 0.0000 0.0000 0.5000 [3 per cell]  2 S 1.76